A plane-wave DFT calculation with PBE was carried out for LaZr3Si after structural relaxation.

Structure (POSCAR):
```
LaZr3Si
1.0
5.078 0.000 0.000
0.000 5.078 0.000
0.000 0.000 5.078
La Zr Si
1 3 1
Cartesian
0.000 0.000 0.000
0.000 0.000 2.539
0.000 2.539 0.000
2.539 0.000 0.000
2.539 2.539 2.539
```

Computed properties:
SG = Pm-3m, No. 221
DOS at the Fermi energy = 1.020 states/eV/atom
Energy above the lowest structure with this stoichiometry = 30.461 kcal/mol of atoms
Density = 5.589 g/cm3
Raw formation energy = 1.40 eV per atom

A plane-wave DFT calculation with PBE was carried out for ReRu after structural relaxation.

Structure (POSCAR):
```
ReRu
1.0
2.164 1.249 3.760
-2.164 1.249 3.760
0.000 -2.498 3.760
Re Ru
2 2
Cartesian
0.000 0.000 1.716
0.000 0.000 9.563
0.000 0.000 4.270
0.000 0.000 7.009
```

Computed properties:
SG = R-3m, No. 166
DOS at the Fermi energy = 1.243 states/eV/atom
Calculated formation energy = 441 meV per atom
Density = 15.647 g/cm3

A plane-wave DFT calculation with PBE was carried out for Cr2HgSb after structural relaxation.

Structure (POSCAR):
```
Cr2HgSb
1.0
-2.238 2.238 9.134
2.238 -2.238 9.134
2.238 2.238 -9.134
Cr Hg Sb
4 2 2
Cartesian
3.357 1.061 -2.284
1.061 1.119 2.284
-1.119 1.177 6.851
1.177 1.119 11.418
2.238 0.000 4.567
0.000 0.000 9.134
0.000 0.000 0.000
0.000 2.238 4.567
```

Computed properties:
SG = I-42d, No. 122
DOS at the Fermi energy = 0.799 states/eV/atom
Energy above the lowest structure with this stoichiometry = 9.820 kcal/mol of atoms
Density = 7.739 g/cm3
Raw formation energy = 0.71 eV per atom

A plane-wave DFT calculation with PBE was carried out for Pr2HfThN4 after structural relaxation.

Structure (POSCAR):
```
Pr2HfThN4
1.0
6.132 0.000 0.000
0.000 3.526 0.000
-1.995 0.000 5.882
Pr Hf Th N
2 1 1 4
Cartesian
0.000 0.000 0.000
3.066 1.763 0.000
-0.998 1.763 2.941
2.069 0.000 2.941
-0.067 0.000 4.180
0.883 1.763 1.662
3.254 1.763 4.220
4.204 0.000 1.703
```

Computed properties:
SG = P2/m, No. 10
DOS at the Fermi energy = 0.331 states/eV/atom
Density = 9.772 g/cm3
Raw formation energy = -1.48 eV per atom